# 1
Compound: Sc3AgO
Source: the Alexandria database
Functional: PBE
Structure: optimized geometry

Output
* total magnetization: 0.00 μB per cell
* formation energy without anion corrections: -1256 meV/atom
* crystal system: triclinic

Structure (POSCAR):
```
Sc3AgO
1.0
5.570 0.000 0.000
0.023 6.230 0.000
2.118 3.090 5.140
Sc Ag O
6 2 2
direct
0.000 0.000 0.000 Sc
0.003 0.498 0.001 Sc
0.107 0.008 0.479 Sc
0.462 0.708 0.084 Sc
0.583 0.221 0.548 Sc
0.586 0.728 0.548 Sc
0.042 0.478 0.541 Ag
0.515 0.251 0.997 Ag
0.291 0.864 0.770 O
0.848 0.102 0.295 O
```

# 2
Compound: Li9Ti12NbO30
Source: the Alexandria database
Functional: PBE
Structure: optimized geometry

Output
* total magnetization: 1.48 μB per cell
* formation energy without anion corrections: -2778 meV/atom
* crystal system: trigonal

Structure (POSCAR):
```
Li9Ti12NbO30
1.0
2.568 1.483 23.621
-2.568 1.483 23.621
0.000 -2.966 23.621
Li Ti Nb O
9 12 1 30
direct
0.000 0.000 0.000 Li
0.051 0.051 0.051 Li
0.135 0.135 0.135 Li
0.281 0.281 0.281 Li
0.417 0.417 0.417 Li
0.499 0.499 0.499 Li
0.551 0.551 0.551 Li
0.636 0.636 0.636 Li
0.781 0.781 0.781 Li
0.187 0.187 0.187 Ti
0.229 0.229 0.229 Ti
0.321 0.321 0.321 Ti
0.363 0.363 0.363 Ti
0.459 0.459 0.459 Ti
0.593 0.593 0.593 Ti
0.687 0.687 0.687 Ti
0.729 0.729 0.729 Ti
0.821 0.821 0.821 Ti
0.863 0.863 0.863 Ti
0.921 0.921 0.921 Ti
0.960 0.960 0.960 Ti
0.093 0.093 0.093 Nb
0.019 0.640 0.264 O
0.019 0.674 0.429 O
0.028 0.377 0.620 O
0.038 0.404 0.783 O
0.121 0.876 0.530 O
0.143 0.521 0.760 O
0.157 0.771 0.398 O
0.175 0.519 0.930 O
0.258 0.901 0.566 O
0.263 0.659 0.899 O
0.264 0.019 0.640 O
0.377 0.620 0.028 O
0.398 0.157 0.771 O
0.404 0.783 0.038 O
0.429 0.019 0.674 O
0.519 0.930 0.175 O
0.521 0.760 0.143 O
0.530 0.121 0.876 O
0.566 0.258 0.901 O
0.620 0.028 0.377 O
0.640 0.264 0.019 O
0.659 0.899 0.263 O
0.674 0.429 0.019 O
0.760 0.143 0.521 O
0.771 0.398 0.157 O
0.783 0.038 0.404 O
0.876 0.530 0.121 O
0.899 0.263 0.659 O
0.901 0.566 0.258 O
0.930 0.175 0.519 O
```

# 3
Compound: Li3HgCl
Source: the Alexandria database
Functional: PBE
Structure: optimized geometry

Output
* total magnetization: 0.00 μB per cell
* formation energy without anion corrections: -682 meV/atom
* crystal system: cubic

Structure (POSCAR):
```
Li3HgCl
1.0
4.657 0.000 0.000
0.000 4.657 0.000
0.000 0.000 4.657
Li Hg Cl
3 1 1
direct
0.000 0.000 0.500 Li
0.000 0.500 0.000 Li
0.500 0.000 0.000 Li
0.500 0.500 0.500 Hg
0.000 0.000 0.000 Cl
```

# 4
Compound: SmYTe
Source: the Alexandria database
Functional: PBE
Structure: optimized geometry

Output
* total magnetization: 0.00 μB per cell
* formation energy without anion corrections: -480 meV/atom
* crystal system: orthorhombic

Structure (POSCAR):
```
SmYTe
1.0
3.257 -5.039 0.000
3.257 5.039 0.000
0.000 0.000 6.252
Sm Y Te
2 2 2
direct
0.250 0.750 0.823 Sm
0.750 0.250 0.177 Sm
0.250 0.250 0.500 Y
0.750 0.750 0.500 Y
0.250 0.750 0.317 Te
0.750 0.250 0.683 Te
```

# 5
Compound: MgGe2Pb2
Source: the Alexandria database
Functional: PBE
Structure: optimized geometry

Output
* ΔH_f (0 K): 0.24 eV per atom
* total magnetization: 0.00 μB per cell
* crystal system: tetragonal

Structure (POSCAR):
```
MgGe2Pb2
1.0
8.136 0.000 0.000
0.000 8.136 0.000
0.000 0.000 4.161
Mg Ge Pb
2 4 4
direct
0.000 0.000 0.000 Mg
0.500 0.500 0.000 Mg
0.114 0.386 0.500 Ge
0.386 0.886 0.500 Ge
0.614 0.114 0.500 Ge
0.886 0.614 0.500 Ge
0.164 0.664 0.000 Pb
0.336 0.164 0.000 Pb
0.664 0.836 0.000 Pb
0.836 0.336 0.000 Pb
```

# 6
Compound: NdYTmSc
Source: the Alexandria database
Functional: PBE
Structure: optimized geometry

Output
* ΔH_f (0 K): 0.10 eV per atom
* total magnetization: 0.00 μB per cell
* crystal system: cubic

Structure (POSCAR):
```
NdYTmSc
1.0
0.000 3.939 3.939
3.939 0.000 3.939
3.939 3.939 0.000
Nd Y Tm Sc
1 1 1 1
direct
0.000 0.000 0.000 Nd
0.500 0.500 0.500 Y
0.250 0.250 0.250 Tm
0.750 0.750 0.750 Sc
```

# 7
Compound: BaLi2HRh
Source: the Alexandria database
Functional: PBE
Structure: optimized geometry

Output
* calculated total energy: -15.49 eV per cell
* total magnetization: 0.00 μB per cell
* crystal system: tetragonal

Structure (POSCAR):
```
BaLi2HRh
1.0
4.631 0.000 0.000
0.000 4.631 0.000
0.000 0.000 5.956
Ba Li H Rh
1 2 1 1
direct
0.000 0.000 0.000 Ba
0.000 0.500 0.500 Li
0.500 0.000 0.500 Li
0.500 0.500 0.000 H
0.000 0.000 0.500 Rh
```

# 8
Compound: Pm2HoOs
Source: the Alexandria database
Functional: PBE
Structure: optimized geometry

Output
* ΔH_f (0 K): -0.17 eV per atom
* total magnetization: 0.00 μB per cell
* crystal system: orthorhombic

Structure (POSCAR):
```
Pm2HoOs
1.0
7.447 0.000 0.000
0.000 9.383 0.000
0.000 0.000 6.429
Pm Ho Os
8 4 4
direct
0.176 0.064 0.171 Pm
0.176 0.436 0.171 Pm
0.324 0.564 0.671 Pm
0.324 0.936 0.671 Pm
0.676 0.064 0.329 Pm
0.676 0.436 0.329 Pm
0.824 0.564 0.829 Pm
0.824 0.936 0.829 Pm
0.043 0.250 0.639 Ho
0.457 0.750 0.139 Ho
0.543 0.250 0.861 Ho
0.957 0.750 0.361 Ho
0.116 0.750 0.965 Os
0.384 0.250 0.465 Os
0.616 0.750 0.535 Os
0.884 0.250 0.035 Os
```

# 9
Compound: Nd5Sm2Ho12
Source: the Alexandria database
Functional: PBE
Structure: optimized geometry

Output
* ΔH_f (0 K): 0.06 eV per atom
* total magnetization: 0.00 μB per cell
* crystal system: triclinic

Structure (POSCAR):
```
Nd5Sm2Ho12
1.0
6.280 0.000 0.000
1.719 8.732 0.000
2.016 3.868 11.301
Nd Sm Ho
5 2 12
direct
0.000 0.000 0.000 Nd
0.221 0.326 0.009 Nd
0.359 0.841 0.506 Nd
0.641 0.159 0.494 Nd
0.779 0.674 0.991 Nd
0.253 0.491 0.437 Sm
0.747 0.509 0.563 Sm
0.082 0.128 0.665 Ho
0.162 0.208 0.322 Ho
0.237 0.461 0.713 Ho
0.268 0.603 0.143 Ho
0.314 0.740 0.831 Ho
0.460 0.926 0.174 Ho
0.540 0.074 0.826 Ho
0.686 0.260 0.169 Ho
0.732 0.397 0.857 Ho
0.763 0.539 0.287 Ho
0.838 0.792 0.678 Ho
0.918 0.872 0.335 Ho
```

# 10
Compound: LiAcZn2Ag4
Source: the Alexandria database
Functional: PBE
Structure: optimized geometry

Output
* ΔH_f (0 K): -0.19 eV per atom
* total magnetization: 0.00 μB per cell
* crystal system: trigonal

Structure (POSCAR):
```
LiAcZn2Ag4
1.0
2.288 1.321 8.966
-2.288 1.321 8.966
0.000 -2.642 8.966
Li Ac Zn Ag
1 1 2 4
direct
0.000 0.000 0.000 Li
0.500 0.500 0.500 Ac
0.263 0.263 0.263 Zn
0.737 0.737 0.737 Zn
0.094 0.094 0.094 Ag
0.369 0.369 0.369 Ag
0.631 0.631 0.631 Ag
0.906 0.906 0.906 Ag
```

# 11
Compound: TbCdCu5
Source: the Alexandria database
Functional: PBE
Structure: optimized geometry

Output
* ΔH_f (0 K): -0.18 eV per atom
* total magnetization: 0.00 μB per cell
* crystal system: orthorhombic

Structure (POSCAR):
```
TbCdCu5
1.0
8.286 0.000 0.000
0.000 5.033 0.000
0.000 0.000 10.515
Tb Cd Cu
4 4 20
direct
0.247 0.250 0.064 Tb
0.253 0.750 0.564 Tb
0.747 0.250 0.436 Tb
0.753 0.750 0.936 Tb
0.136 0.750 0.864 Cd
0.364 0.250 0.364 Cd
0.636 0.750 0.636 Cd
0.864 0.250 0.136 Cd
0.053 0.750 0.107 Cu
0.069 0.002 0.314 Cu
0.069 0.498 0.314 Cu
0.084 0.250 0.516 Cu
0.186 0.250 0.741 Cu
0.314 0.750 0.241 Cu
0.416 0.750 0.016 Cu
0.431 0.502 0.814 Cu
0.431 0.998 0.814 Cu
0.447 0.250 0.607 Cu
0.553 0.750 0.393 Cu
0.569 0.002 0.186 Cu
0.569 0.498 0.186 Cu
0.584 0.250 0.984 Cu
0.686 0.250 0.759 Cu
0.814 0.750 0.259 Cu
0.916 0.750 0.484 Cu
0.931 0.502 0.686 Cu
0.931 0.998 0.686 Cu
0.947 0.250 0.893 Cu
```

# 12
Compound: Mg2ZnTe3
Source: the Alexandria database
Functional: PBE
Structure: optimized geometry

Output
* total magnetization: 0.00 μB per cell
* formation energy without anion corrections: -731 meV/atom
* crystal system: monoclinic

Structure (POSCAR):
```
Mg2ZnTe3
1.0
3.917 -6.805 0.000
3.917 6.805 0.000
-2.580 0.000 7.381
Mg Zn Te
4 2 6
direct
0.083 0.917 0.500 Mg
0.255 0.748 0.001 Mg
0.748 0.255 0.501 Mg
0.917 0.083 0.000 Mg
0.420 0.582 0.502 Zn
0.582 0.420 0.002 Zn
0.137 0.624 0.621 Te
0.305 0.459 0.136 Te
0.459 0.305 0.636 Te
0.624 0.137 0.121 Te
0.780 0.949 0.619 Te
0.949 0.780 0.119 Te
```

Question: Look up the total magnetization of the fourth one.
Answer: 0.00 μB per cell